VASP calculation (PBE) on a geometry-optimized SrPu2Se3 structure.

Calculated values
**Electronic total energy**: -8.45 eV per atom
**E_form (uncorrected)**: -1648.1 meV/atom

abc: 4.2543 6.0122 7.3688
angles: 114.08 106.78 90.00
Last column: nearest neighbours and their distance in Å.
Atoms (fractional coordinates):
Se 0.3242 0.3242 0.6484  4 Pu 2.95-3.01, 2 Sr 3.09
Se 0.0000 0.0000 0.0000  4 Pu 2.99, 2 Sr 3.01
Se 0.6758 0.6758 0.3516  4 Pu 2.95-3.01, 2 Sr 3.09
Pu 0.6645 0.1645 0.3291  6 Se 2.95-3.01
Pu 0.3355 0.8355 0.6709  6 Se 2.95-3.01
Sr 0.0000 0.5000 0.0000  6 Se 3.01-3.09